DFT (meta-GGA SCAN) results for a crystal of Ta2IrPdW relaxed with PBEsol.

Summary:
Total moment ... 0.000 μB per formula unit
Fermi-level density of states ... 4.094 states/eV per cell
Theoretical density ... 13.26 Mg/m³
Total energy ... -2.2051 hartree per atom
Energy relative to the elements ... 1.34 eV per atom

a b c (Å): 4.7562 4.7562 4.6736
angles (deg): 90.00 90.00 90.00
Space group P4/mmm (No. 123)
Inequivalent atoms, fractional coordinates:
Ta: 0.0000 0.5000 0.0000 x2
Ir: 0.0000 0.0000 0.0000 x1
Pd: 0.5000 0.5000 0.5000 x1
W: 0.0000 0.0000 0.5000 x1